{
  "formula": "TiTeBr3",
  "functional": "PBE-GGA",
  "state": "optimized geometry",
  "e_tot_ev_per_atom": -3.527,
  "formation_energy_uncorrected_ev_per_atom": -0.32,
  "lattice_angstrom": [[5.1969, 0.0000, 0.0000], [0.0000, 5.1969, 0.0000], [0.0000, 0.0000, 5.1969]],
  "species": ["Br", "Ti", "Br", "Br", "Te"],
  "fractional_positions": [[0.0000, 0.5000, 0.0000], [0.0000, 0.0000, 0.0000], [0.5000, 0.0000, 0.0000], [0.0000, 0.0000, 0.5000], [0.5000, 0.5000, 0.5000]]
}